Entry 1:
Compound: NaNdAu
Source: Alexandria via LeMat-Bulk
Functional: GGA-PBE
Structure: optimized geometry

Structure (POSCAR):
```
NaNdAu
1.0
-1.0520 -4.0894 0.7501
0.5764 -1.0472 -4.1187
9.0978 0.5722 3.4005
Na Nd Au
2 2 2
Direct
0.7632 0.7632 0.5009
0.2368 0.2368 0.4991
0.6828 0.6828 0.8624
0.3172 0.3172 0.1376
0.1515 0.1515 0.7991
0.8485 0.8485 0.2009
```

ΔE to the lowest computed polymorph	0	meV per atom
space group	C2/m, No. 12
final energy	-0.128	hartree per atom

---

Entry 2:
Compound: NaNd4Au5
Source: Alexandria via LeMat-Bulk
Functional: GGA-PBE
Structure: optimized geometry

Structure (POSCAR):
```
NaNd4Au5
1.0
3.6871 0.0000 0.0000
0.0000 3.6871 0.0000
0.0000 0.0000 18.5590
Na Nd Au
1 4 5
Direct
0.0000 0.0000 0.0000
0.0000 0.0000 0.1930
0.0000 0.0000 0.3986
0.0000 0.0000 0.6014
0.0000 0.0000 0.8070
0.5000 0.5000 0.1020
0.5000 0.5000 0.2978
0.5000 0.5000 0.5000
0.5000 0.5000 0.7022
0.5000 0.5000 0.8980
```

space group	P4/mmm, No. 123
final energy	-0.160	hartree per atom

---

Entry 3:
Compound: NaNd2Au
Source: Alexandria via LeMat-Bulk
Functional: GGA-PBE
Structure: optimized geometry

Structure (POSCAR):
```
NaNd2Au
1.0
4.0099 0.0000 0.0000
2.0049 3.4727 0.0000
2.0049 1.1576 10.1262
Nd Au Na
2 1 1
Direct
0.2710 0.2710 0.1870
0.7290 0.7290 0.8130
0.0000 0.0000 0.0000
0.5000 0.5000 0.5000
```

ΔE to the lowest computed polymorph	82	meV per atom
space group	R-3m, No. 166
final energy	-0.136	hartree per atom

---

Entry 4:
Compound: NaNdAu2
Source: Alexandria via LeMat-Bulk
Functional: GGA-PBE
Structure: optimized geometry

Structure (POSCAR):
```
NaNdAu2
1.0
3.7167 0.0000 0.0000
0.0000 3.7167 0.0000
0.0000 0.0000 7.2405
Nd Au Na
1 2 1
Direct
0.5000 0.5000 0.5000
0.0000 0.0000 0.7301
0.0000 0.0000 0.2699
0.5000 0.5000 0.0000
```

ΔE to the lowest computed polymorph	35	meV per atom
space group	P4/mmm, No. 123
final energy	-0.136	hartree per atom

---

What are the ΔH_f (0 K) values for these records? In order: -36.1; -64.8; -16.0; -53.4 kJ per mole of atoms.